A plane-wave DFT calculation with PBE was carried out for a geometry-optimized CsBe3ZnAs3 structure.

crystal system: orthorhombic

abc: 3.887 3.964 10.552
angles: 90.00 90.00 90.00
Space group Pmm2 (No. 25)
Unique sites:
Cs1 0.000 0.000 0.000 x1
Be1 0.000 0.500 0.347 x1
Be2 0.000 0.500 0.641 x1
Be3 0.500 0.000 0.345 x1
Zn1 0.500 0.000 0.632 x1
As1 0.000 0.000 0.478 x1
As2 0.500 0.500 0.233 x1
As3 0.500 0.500 0.763 x1



A plane-wave DFT calculation with PBE was carried out for a geometry-optimized CsBe2Zn2As3 structure.

relative energy among the computed polymorphs: 34.5 meV per atom
crystal system: orthorhombic

abc: 3.956 4.105 10.662
angles: 90.00 90.00 90.00
Space group Pmmm (No. 47)
Unique sites:
Cs1 0.000 0.000 0.000 x1
Be1 0.000 0.500 0.348 x2
Zn1 0.500 0.000 0.352 x2
As1 0.000 0.000 0.500 x1
As2 0.500 0.500 0.227 x2



Electronic total energy list, top to bottom, in eV per cell: -29.1 -26.5